First-principles (PBE) data for a geometry-optimized ZrTl2Pb structure, as listed in Alexandria.

```
data_ZrTl2Pb
_chemical_formula_sum 'Zr1 Tl2 Pb1'
_space_group_name_H-M_alt 'P 1'
_space_group_IT_number 1
_cell_length_a 3.3724
_cell_length_b 5.5528
_cell_length_c 5.6459
_cell_angle_alpha 90.00
_cell_angle_beta 90.00
_cell_angle_gamma 90.00
loop_
_space_group_symop_operation_xyz
'x,y,z'
loop_
_atom_site_label
_atom_site_type_symbol
_atom_site_fract_x
_atom_site_fract_y
_atom_site_fract_z
_atom_site_occupancy
Zr1 Zr 0.0000 0.0000 0.0000 1
Tl1 Tl 0.0000 0.5000 0.5000 1
Tl2 Tl 0.5000 0.0000 0.5000 1
Pb1 Pb 0.5000 0.5000 0.0000 1
```

Results
* SG: Pmmm
* energy: -4.16 eV per atom
* V: 105.7 Å³ per cell
* magnetic moment: 0.0 μB per formula unit
* energy relative to the lowest polymorph listed for this composition: 55 meV/atom
* ρ: 11.11 Mg/m³